Below is Na3Ho3TiTe8 after structural relaxation, with properties calculated at the PBE level.

```
15
Lattice="-1.813 8.352 -0.984 -6.305 -5.840 -0.343 3.771 1.781 8.165" Properties=species:S:1:pos:R:3 pbc="T T T"
Te -0.586 0.518 5.476
Te -0.401 6.887 1.544
Te -2.679 -0.375 1.752
Te -4.912 1.857 4.769
Ho -1.267 -2.029 3.911
Te 0.565 2.436 2.069
Na -3.152 -2.920 -0.172
Te -3.760 3.775 1.361
Te -3.945 -2.594 5.293
Ho 0.979 5.066 3.590
Ho -2.173 2.146 3.419
Ti 1.886 0.890 4.083
Te -1.667 4.668 5.085
Na -4.059 1.256 -0.664
Na 0.000 0.000 0.000
```

Values from the calculation:
The value obtained for the total energy is -4.521 eV/atom. The calculation puts the formation energy without anion corrections at -17.10 eV per formula unit. For the magnetization, the calculation gives 0.05 Bohr magnetons per cell. The space group is R-3m (166).

Below is ScNbBiF2 after structural relaxation, with properties calculated at the PBE level.

```
5
Lattice="4.140 0.000 0.000 0.000 6.295 0.000 0.000 0.000 4.140" Properties=species:S:1:pos:R:3 pbc="T T T"
Bi 2.070 3.148 2.070
Nb 0.000 0.000 0.000
F 0.000 0.000 2.070
F 2.070 0.000 0.000
Sc 0.000 3.148 0.000
```

Values from the calculation:
The value obtained for the total energy is -6.046 eV/atom. The calculation puts the formation energy without anion corrections at -6.20 eV per formula unit. For the magnetization, the calculation gives 1.22 Bohr magnetons per cell. The space group is P4/mmm (123).

Below is TbYHo2Tm after structural relaxation, with properties calculated at the PBE level.

```
10
Lattice="7.172 0.000 0.000 0.000 8.299 0.000 0.000 -4.150 5.692" Properties=species:S:1:pos:R:3 pbc="T T T"
Tb 5.379 0.000 3.196
Tb 1.793 4.150 2.495
Ho 3.586 5.740 0.000
Ho 0.000 5.740 0.000
Tm 5.379 0.000 0.113
Y 5.379 4.150 2.625
Y 1.793 0.000 3.066
Tm 1.793 4.150 5.579
Ho 3.586 2.560 0.000
Ho 0.000 2.560 0.000
```

Values from the calculation:
The value obtained for the total energy is -4.552 eV/atom. The formation enthalpy at 0 K comes out at 0.39 eV/atom. For the magnetization, the calculation gives 0.00 Bohr magnetons per cell. The space group is Cmcm (63).

Below is TcIr2Pt after structural relaxation, with properties calculated at the PBE level.

```
4
Lattice="2.733 0.000 0.000 0.000 2.733 0.000 0.000 0.000 7.895" Properties=species:S:1:pos:R:3 pbc="T T T"
Tc 1.366 1.366 5.972
Ir 1.366 1.366 1.921
Ir 0.000 0.000 7.861
Pt 0.000 0.000 3.984
```

Values from the calculation:
The value obtained for the total energy is -8.615 eV/atom. The formation enthalpy at 0 K comes out at -0.08 eV/atom. For the magnetization, the calculation gives 0.00 Bohr magnetons per cell. The space group is P4mm (99).

Below is LiY2Ge after structural relaxation, with properties calculated at the PBE level.

```
8
Lattice="8.011 0.000 0.000 0.000 8.011 0.000 4.006 4.006 3.338" Properties=species:S:1:pos:R:3 pbc="T T T"
Y 6.216 2.003 0.834
Li 4.006 8.011 1.669
Y 1.795 6.008 0.834
Y 10.014 10.222 2.503
Li 4.006 4.006 0.000
Y 6.008 5.800 2.503
Ge 0.000 0.000 0.000
Ge 8.011 4.006 1.669
```

Values from the calculation:
The value obtained for the total energy is -4.956 eV/atom. The formation enthalpy at 0 K comes out at -0.09 eV/atom. For the magnetization, the calculation gives 0.00 Bohr magnetons per cell. The space group is I-42d (122).

Below is Co2HgMo after structural relaxation, with properties calculated at the PBE level.

```
4
Lattice="-3.161 -1.790 3.290 -0.713 -1.703 4.540 -1.387 3.619 2.464" Properties=species:S:1:pos:R:3 pbc="T T T"
Mo -1.305 -0.241 2.573
Hg -2.637 0.260 5.147
Co -3.841 0.140 7.511
Co -0.108 0.030 0.210
```

Values from the calculation:
The value obtained for the total energy is -5.902 eV/atom. The formation enthalpy at 0 K comes out at 0.43 eV/atom. For the magnetization, the calculation gives 1.68 Bohr magnetons per cell. The space group is Cm (8).

Below is MnSi2Pb after structural relaxation, with properties calculated at the PBE level.

```
4
Lattice="5.864 0.017 -0.010 3.000 5.038 0.010 -3.707 -3.798 2.493" Properties=species:S:1:pos:R:3 pbc="T T T"
Si 8.495 4.844 0.000
Pb 1.862 1.884 1.252
Mn 3.294 -0.627 1.241
Si 4.801 2.738 0.000
```

Values from the calculation:
The value obtained for the total energy is -5.425 eV/atom. The calculation puts the formation energy without anion corrections at 2.02 eV per formula unit. For the magnetization, the calculation gives 2.91 Bohr magnetons per cell. The space group is Immm (71).

Below is HfTiIn2 after structural relaxation, with properties calculated at the PBE level.

```
4
Lattice="-2.256 -0.609 4.306 -4.872 -0.490 0.165 -1.989 -4.332 1.132" Properties=species:S:1:pos:R:3 pbc="T T T"
Hf -4.559 -2.715 2.802
In -2.279 -1.358 1.401
In -6.838 -4.073 4.202
Ti 0.000 0.000 0.000
```

Values from the calculation:
The value obtained for the total energy is -5.799 eV/atom. The formation enthalpy at 0 K comes out at 0.03 eV/atom. For the magnetization, the calculation gives 1.34 Bohr magnetons per cell. The space group is Fm-3m (225).

Below is HgTePt2 after structural relaxation, with properties calculated at the PBE level.

```
4
Lattice="-2.780 6.784 -1.787 -4.983 4.258 -3.738 -5.690 4.956 0.011" Properties=species:S:1:pos:R:3 pbc="T T T"
Hg -9.871 11.737 -4.046
Pt -3.419 4.065 -1.401
Te -7.055 8.389 -2.891
Pt -13.289 15.803 -5.447
```

Values from the calculation:
The value obtained for the total energy is -3.902 eV/atom. The calculation puts the formation energy without anion corrections at -0.08 eV per formula unit. For the magnetization, the calculation gives 0.00 Bohr magnetons per cell. The space group is R3m (160).

Below is CsAlFe2Mo after structural relaxation, with properties calculated at the PBE level.

```
5
Lattice="4.665 0.000 0.000 0.000 5.920 0.000 0.000 0.000 4.665" Properties=species:S:1:pos:R:3 pbc="T T T"
Fe 2.333 0.000 0.000
Cs 0.000 2.960 0.000
Fe 0.000 0.000 2.333
Al 0.000 0.000 0.000
Mo 2.333 2.960 2.333
```

Values from the calculation:
The value obtained for the total energy is -4.409 eV/atom. The formation enthalpy at 0 K comes out at 2.06 eV/atom. For the magnetization, the calculation gives 8.92 Bohr magnetons per cell. The space group is P4/mmm (123).

Below is LaReSb2 after structural relaxation, with properties calculated at the PBE level.

```
4
Lattice="-3.522 -2.373 2.285 3.380 -3.435 0.177 1.339 1.505 3.628" Properties=species:S:1:pos:R:3 pbc="T T T"
Sb -0.071 -2.904 1.231
La -1.092 -0.434 2.956
Re 2.360 -0.965 1.903
Sb 0.000 0.000 0.000
```

Values from the calculation:
The value obtained for the total energy is -6.201 eV/atom. The calculation puts the formation energy without anion corrections at 0.82 eV per formula unit. For the magnetization, the calculation gives 0.96 Bohr magnetons per cell. The space group is Cmmm (65).

Below is ZrTaMn after structural relaxation, with properties calculated at the PBE level.

```
3
Lattice="5.587 0.000 0.000 3.808 4.089 0.000 -4.698 -2.044 2.230" Properties=species:S:1:pos:R:3 pbc="T T T"
Zr 6.170 2.685 0.000
Mn 9.292 4.044 0.000
Ta 3.328 1.448 0.000
```

Values from the calculation:
The value obtained for the total energy is -9.907 eV/atom. The formation enthalpy at 0 K comes out at -0.05 eV/atom. For the magnetization, the calculation gives 0.00 Bohr magnetons per cell. The space group is I4mm (107).